1.
{"formula": "Nd2Dy2CI3Br2", "functional": "PBE", "state": "relaxed", "cell": [[9.345, -2.001, 0.000], [9.345, 2.001, 0.000], [-1.929, 0.000, 8.630]], "species": ["Nd", "Nd", "Dy", "Dy", "C", "I", "I", "I", "Br", "Br"], "frac_coords": [[0.001, 0.001, 0.305], [0.999, 0.999, 0.695], [0.368, 0.368, 0.438], [0.632, 0.632, 0.562], [0.500, 0.500, 0.500], [0.172, 0.172, 0.828], [0.500, 0.500, 0.000], [0.828, 0.828, 0.172], [0.168, 0.168, 0.353], [0.832, 0.832, 0.647]], "de_polymorph_ev_per_atom": 0.004, "sg": "No. 12"}



2.
{"formula": "Nd2Dy2CI4Br", "functional": "PBE", "state": "relaxed", "cell": [[9.581, -1.980, 0.000], [9.581, 1.980, 0.000], [-1.862, 0.000, 8.330]], "species": ["Nd", "Nd", "Dy", "Dy", "C", "I", "I", "I", "I", "Br"], "frac_coords": [[0.135, 0.135, 0.067], [0.865, 0.865, 0.933], [0.499, 0.499, 0.194], [0.501, 0.501, 0.806], [0.000, 0.000, 0.000], [0.335, 0.335, 0.198], [0.340, 0.340, 0.643], [0.660, 0.660, 0.357], [0.665, 0.665, 0.802], [0.000, 0.000, 0.500]], "de_polymorph_ev_per_atom": 0.023, "sg": "No. 12"}